# 1
Entry from Alexandria: crystalline CsCaBi at its relaxed geometry (PBE).

Properties
The calculation puts the density of states at the Fermi level at 0.00 states/eV/atom. Its size of the total moment is 0.000 μB per cell. Its crystal system is orthorhombic. Its space-group type is Pnma, No. 62. For the formation energy, the calculation gives -0.6568 eV per atom. The calculation puts the calculated density at 4.9 g/cm³.

a = 9.883 Å, b = 5.624 Å, c = 9.295 Å
α = 90.00°, β = 90.00°, γ = 90.00°
Fractional coordinates of all 12 atoms:
Cs 0.002 0.250 0.156
Cs 0.498 0.750 0.656
Cs 0.502 0.250 0.344
Cs 0.998 0.750 0.844
Ca 0.140 0.250 0.573
Ca 0.360 0.750 0.073
Ca 0.640 0.250 0.927
Ca 0.860 0.750 0.427
Bi 0.188 0.750 0.386
Bi 0.312 0.250 0.886
Bi 0.688 0.750 0.114
Bi 0.812 0.250 0.614

# 2
Entry from Alexandria: crystalline VIn2Ru at its relaxed geometry (PBE).

Properties
The calculation puts the density of states at the Fermi level at 1.49 states/eV/atom. Its size of the total moment is 2.359 μB per cell. Its crystal system is cubic. Its space-group type is Fm-3m, No. 225. For the formation energy, the calculation gives 0.1688 eV per atom. The calculation puts the calculated density at 9.1 g/cm³.

a = 4.624 Å, b = 4.624 Å, c = 4.624 Å
α = 60.00°, β = 60.00°, γ = 60.00°
Fractional coordinates of all 4 atoms:
V 0.000 0.000 0.000
In 0.250 0.250 0.250
In 0.750 0.750 0.750
Ru 0.500 0.500 0.500

# 3
Entry from Alexandria: crystalline NdBiAu4 at its relaxed geometry (PBE).

Properties
The calculation puts the density of states at the Fermi level at 0.37 states/eV/atom. Its size of the total moment is 0.000 μB per cell. Its crystal system is hexagonal. Its space-group type is P6/mmm, No. 191. For the formation energy, the calculation gives -0.4391 eV per atom. The calculation puts the calculated density at 13.9 g/cm³.

a = 4.904 Å, b = 4.904 Å, c = 6.538 Å
α = 90.00°, β = 90.00°, γ = 120.00°
Fractional coordinates of all 6 atoms:
Nd 0.000 0.000 0.000
Bi 0.000 0.000 0.500
Au 0.333 0.667 0.242
Au 0.333 0.667 0.758
Au 0.667 0.333 0.242
Au 0.667 0.333 0.758

# 4
Entry from Alexandria: crystalline Ta3AlFe8 at its relaxed geometry (PBE).

Properties
The calculation puts the density of states at the Fermi level at 1.05 states/eV/atom. Its size of the total moment is 10.144 μB per cell. Its crystal system is trigonal. Its space-group type is P3m1, No. 156. For the formation energy, the calculation gives -0.2242 eV per atom. The calculation puts the calculated density at 11.0 g/cm³.

a = 4.779 Å, b = 4.779 Å, c = 7.779 Å
α = 90.00°, β = 90.00°, γ = 120.00°
Fractional coordinates of all 12 atoms:
Ta 0.000 0.000 0.000
Ta 0.000 0.000 0.375
Ta 0.333 0.667 0.857
Al 0.333 0.667 0.490
Fe 0.006 0.503 0.184
Fe 0.329 0.165 0.683
Fe 0.497 0.503 0.184
Fe 0.497 0.994 0.184
Fe 0.667 0.333 0.434
Fe 0.667 0.333 0.939
Fe 0.835 0.165 0.683
Fe 0.835 0.671 0.683

Which value of calculated density does entry 2 give?
9.1 g/cm³